The following is a DFT calculation (PBEsol) of crystalline YScNi at its relaxed geometry.

Cell: 3.255 3.255 11.652 Å, 90.00 90.00 90.00°
Space group I4mm (No. 107)
Symmetry-distinct sites (fractional):
Y: 0.000 0.000 0.000 x2
Sc: 0.000 0.000 0.733 x2
Ni: 0.000 0.000 0.348 x2

Values from the calculation:
relative energy among the computed polymorphs	0.000	eV per atom
crystal system	tetragonal

The following is a DFT calculation (PBEsol) of crystalline YSc3Ni at its relaxed geometry.

Cell: 4.908 4.908 4.908 Å, 90.00 90.00 90.00°
Space group Pm-3m (No. 221)
Symmetry-distinct sites (fractional):
Y: 0.000 0.000 0.000 x1
Sc: 0.000 0.500 0.500 x3
Ni: 0.500 0.500 0.500 x1

Values from the calculation:
crystal system	cubic

The following is a DFT calculation (PBEsol) of crystalline Y2ScNi at its relaxed geometry.

Cell: 3.428 5.070 10.522 Å, 90.00 90.00 90.00°
Space group Imm2 (No. 44)
Symmetry-distinct sites (fractional):
Y: 0.000 0.000 0.000 x2
Y: 0.000 0.500 0.200 x2
Sc: 0.000 0.500 0.806 x2
Ni: 0.000 0.000 0.489 x2

Values from the calculation:
relative energy among the computed polymorphs	0.000	eV per atom
crystal system	orthorhombic

The following is a DFT calculation (PBEsol) of crystalline Y2ScNi at its relaxed geometry.

Cell: 7.088 7.088 7.088 Å, 90.00 90.00 90.00°
Space group Fm-3m (No. 225)
Symmetry-distinct sites (fractional):
Y: 0.250 0.250 0.250 x8
Sc: 0.000 0.000 0.000 x4
Ni: 0.000 0.000 0.500 x4

Values from the calculation:
relative energy among the computed polymorphs	0.289	eV per atom
crystal system	cubic

The following is a DFT calculation (PBEsol) of crystalline Y2ScNi2 at its relaxed geometry.

Cell: 5.196 5.196 7.781 Å, 90.00 90.00 90.00°
Space group I4/mmm (No. 139)
Symmetry-distinct sites (fractional):
Y: 0.000 0.500 0.250 x4
Sc: 0.000 0.000 0.000 x2
Ni: 0.000 0.000 0.352 x4

Values from the calculation:
relative energy among the computed polymorphs	0.248	eV per atom
crystal system	tetragonal

The following is a DFT calculation (PBEsol) of crystalline YScNi2 at its relaxed geometry.

Cell: 3.224 3.224 6.461 Å, 90.00 90.00 90.00°
Space group P4/mmm (No. 123)
Symmetry-distinct sites (fractional):
Y: 0.000 0.000 0.000 x1
Sc: 0.000 0.000 0.500 x1
Ni: 0.500 0.500 0.277 x2

Values from the calculation:
crystal system	tetragonal

The following is a DFT calculation (PBEsol) of crystalline YScNi at its relaxed geometry.

Cell: 6.280 6.280 6.280 Å, 90.00 90.00 90.00°
Space group F-43m (No. 216)
Symmetry-distinct sites (fractional):
Y: 0.000 0.000 0.000 x4
Sc: 0.250 0.250 0.250 x4
Ni: 0.000 0.000 0.500 x4

Values from the calculation:
relative energy among the computed polymorphs	0.781	eV per atom
crystal system	cubic

The following is a DFT calculation (PBEsol) of crystalline YScNi at its relaxed geometry.

Cell: 4.2879 4.2879 3.9315 Å, 90.00 90.00 120.00°
Space group P3m1 (No. 156)
Symmetry-distinct sites (fractional):
Y: 0.0000 0.0000 0.0000 x1
Sc: 0.3333 0.6667 0.5091 x1
Ni: 0.6667 0.3333 0.3766 x1

Values from the calculation:
relative energy among the computed polymorphs	0.157	eV per atom
crystal system	trigonal

Number 1: energy of formation -0.251 eV/atom. Number 2: energy of formation -0.074 eV/atom. Number 3: energy of formation -0.168 eV/atom. Number 4: energy of formation 0.121 eV/atom. Number 5: energy of formation -0.084 eV/atom. Number 6: energy of formation -0.418 eV/atom. Number 7: energy of formation 0.529 eV/atom. Number 8: energy of formation -0.095 eV/atom.